Below is La2TaMo after structural relaxation, with properties calculated at the PBE-GGA level.

```
La2TaMo
1.0
2.9668 0.0000 0.0000
0.0000 2.9668 0.0000
0.0000 0.0000 10.6496
La Ta Mo
2 1 1
Direct
0.0000 0.0000 0.2452
0.0000 0.0000 0.7548
0.5000 0.5000 0.5000
0.5000 0.5000 0.0000
```

Results
The crystal system is tetragonal. The density of states at the Fermi level is 4.89 states/eV per cell. Its size of the total moment is 0.00 Bohr magnetons per cell. As for the symmetry: P4/mmm (123). The final energy is -7.416 eV/atom. The formation energy comes out at 69.3 kJ/mol of atoms.

=====

Below is YRhC after structural relaxation, with properties calculated at the PBE-GGA level.

```
YRhC
1.0
9.9894 0.0000 0.0000
0.0000 3.3457 0.0000
0.0000 0.0000 5.8254
Y Rh C
4 4 4
Direct
0.1459 0.2500 0.1266
0.3541 0.7500 0.6266
0.6459 0.2500 0.3734
0.8541 0.7500 0.8734
0.0873 0.2500 0.6360
0.4127 0.7500 0.1360
0.5873 0.2500 0.8640
0.9127 0.7500 0.3640
0.1132 0.7500 0.8067
0.3868 0.2500 0.3067
0.6132 0.7500 0.6933
0.8868 0.2500 0.1933
```

Results
The crystal system is orthorhombic. The density of states at the Fermi level is 4.22 states/eV per cell. Its size of the total moment is 0.00 Bohr magnetons per cell. As for the symmetry: Pnma (62). The final energy is -8.037 eV/atom. The formation energy comes out at -34.4 kJ/mol of atoms.

=====

Below is NdPa5S6 after structural relaxation, with properties calculated at the PBE-GGA level.

```
NdPa5S6
1.0
3.3129 -5.9124 0.0000
3.3129 5.9124 0.0000
-2.3432 0.0000 6.5192
Nd Pa S
1 5 6
Direct
0.0000 0.0000 0.0000
0.1624 0.8376 0.5000
0.3322 0.6678 0.0000
0.5000 0.5000 0.5000
0.6678 0.3322 0.0000
0.8376 0.1624 0.5000
0.0856 0.4240 0.2539
0.2571 0.2571 0.7514
0.4240 0.0856 0.2539
0.5760 0.9144 0.7461
0.7429 0.7429 0.2486
0.9144 0.5760 0.7461
```

Results
The crystal system is monoclinic. The density of states at the Fermi level is 18.44 states/eV per cell. Its size of the total moment is 0.00 Bohr magnetons per cell. As for the symmetry: C2/m (12). The final energy is -8.070 eV/atom.

=====

Below is NaSc2Co2 after structural relaxation, with properties calculated at the PBE-GGA level.

```
NaSc2Co2
1.0
7.5389 0.0000 0.0000
0.0000 7.5389 0.0000
0.0000 0.0000 3.0738
Na Sc Co
2 4 4
Direct
0.0000 0.0000 0.0000
0.5000 0.5000 0.0000
0.1506 0.3494 0.5000
0.3494 0.8494 0.5000
0.6506 0.1506 0.5000
0.8494 0.6506 0.5000
0.1339 0.6339 0.0000
0.3661 0.1339 0.0000
0.6339 0.8661 0.0000
0.8661 0.3661 0.0000
```

Results
The crystal system is tetragonal. The density of states at the Fermi level is 8.63 states/eV per cell. Its size of the total moment is 0.00 Bohr magnetons per cell. As for the symmetry: P4/mbm (127). The final energy is -5.604 eV/atom. The formation energy comes out at 3.4 kJ/mol of atoms.

=====

Below is TbDy3Tm3 after structural relaxation, with properties calculated at the PBE-GGA level.

```
TbDy3Tm3
1.0
9.4845 0.0000 0.0000
-4.7422 8.2138 0.0000
0.0000 0.0000 5.5915
Tb Dy Tm
2 6 6
Direct
0.3333 0.6667 0.2500
0.6667 0.3333 0.7500
0.0484 0.8090 0.2500
0.1910 0.2394 0.2500
0.2394 0.0484 0.7500
0.7606 0.9516 0.2500
0.8090 0.7606 0.7500
0.9516 0.1910 0.7500
0.0952 0.6183 0.7500
0.3817 0.4769 0.7500
0.4769 0.0952 0.2500
0.5231 0.9048 0.7500
0.6183 0.5231 0.2500
0.9048 0.3817 0.2500
```

Results
The crystal system is hexagonal. The density of states at the Fermi level is 28.50 states/eV per cell. Its size of the total moment is 0.01 Bohr magnetons per cell. As for the symmetry: P6_3/m (176). The final energy is -4.544 eV/atom. The formation energy comes out at 0.6 kJ/mol of atoms.